First-principles (SCAN) data for a PBEsol-optimized structure of ScIn2Rh, as listed in Alexandria via LeMat-Bulk.

V (Å³ per cell): 73.9
Energy relative to the elements (eV per atom): -0.48
Spin magnetization (μB/atom): 0.000
Space group: I-4m2, No. 119
N(E_F) (states/eV per atom): 0.49

Cell and atoms, written as POSCAR:
```
ScIn2Rh
1.0
-2.1762 2.1762 3.9026
2.1762 -2.1762 3.9026
2.1762 2.1762 -3.9026
Sc In Rh
1 2 1
Direct
0.0000 0.0000 0.0000
0.5000 0.5000 0.0000
0.7500 0.2500 0.5000
0.2500 0.7500 0.5000
```